## 1
CaSi3P: relaxed, PBE-GGA.

- symmetry = I4mm
- ρ (Mg/m³) = 2.66
- M_tot (μB per atom) = 0.0000

abc: 5.6329 5.6329 5.6329
angles: 131.98 131.98 70.26
Last column: nearest neighbours and their distance in Å.
Atoms (fractional coordinates):
Ca1 0.0000 0.0000 0.0000  1 P 3.07, 9 Si 3.17-3.27
Si1 0.2474 0.7474 0.5000  2 P 2.42, 2 Si 2.44
Si2 0.6562 0.6562 0.0000  4 Si 2.44
Si3 0.7474 0.2474 0.5000  2 P 2.42, 2 Si 2.44
P1 0.3328 0.3328 0.0000  4 Si 2.42



## 2
CaSi3P: relaxed, PBE-GGA.

- symmetry = Pm-3m
- ρ (Mg/m³) = 1.78
- M_tot (μB per atom) = 0.2156

abc: 5.2522 5.2522 5.2522
angles: 90.00 90.00 90.00
Last column: nearest neighbours and their distance in Å.
Atoms (fractional coordinates):
Ca1 0.0000 0.0000 0.0000  6 Si 2.63
Si1 0.0000 0.0000 0.5000  2 Ca 2.63
Si2 0.0000 0.5000 0.0000  2 Ca 2.63
Si3 0.5000 0.0000 0.0000  2 Ca 2.63
P1 0.5000 0.5000 0.5000  12 Si 3.71



From most stable to least stable, the computed energies give 1, 2.



## 1
CaSmP2: relaxed, PBE-GGA.

- symmetry = R3m
- ρ (Mg/m³) = 4.14
- M_tot (μB per atom) = 0.0000

abc: 7.3554 7.3554 7.3554
angles: 32.34 32.34 32.34
Last column: nearest neighbours and their distance in Å.
Atoms (fractional coordinates):
Ca1 0.0000 0.0000 0.0000  6 P 2.93-3.04
Sm1 0.8270 0.8270 0.8270  6 P 2.86-2.92
P1 0.2423 0.2423 0.2423  3 Sm 2.92, 3 Ca 3.04
P2 0.4164 0.4164 0.4164  3 Sm 2.86, 3 Ca 2.93



## 2
CaSmP2: relaxed, PBE-GGA.

- symmetry = R-3m
- ρ (Mg/m³) = 4.22
- M_tot (μB per atom) = 0.0000

abc: 7.2104 7.2104 7.2104
angles: 33.08 33.08 33.08
Last column: nearest neighbours and their distance in Å.
Atoms (fractional coordinates):
Ca1 0.0000 0.0000 0.0000  6 P 2.95
Sm1 0.5000 0.5000 0.5000  6 P 2.88
P1 0.2471 0.2471 0.2471  3 Sm 2.88, 3 Ca 2.95
P2 0.7529 0.7529 0.7529  3 Sm 2.88, 3 Ca 2.95



From most stable to least stable, the computed energies give 2, 1.



## 1
Ca2SnP: relaxed, PBE-GGA.

- symmetry = I-42d
- ρ (Mg/m³) = 3.41
- M_tot (μB per atom) = 0.0000

abc: 6.6899 6.6899 6.6899
angles: 104.23 104.23 120.56
Last column: nearest neighbours and their distance in Å.
Atoms (fractional coordinates):
Ca1 0.0758 0.6250 0.9508  2 P 2.76
Ca2 0.3750 0.3258 0.4508  2 P 2.76
Ca3 0.6742 0.1250 0.0492  2 P 2.76
Ca4 0.8750 0.9242 0.5492  2 P 2.76
Sn1 0.2500 0.7500 0.5000  8 Ca 3.31-3.62, 2 P 3.32
Sn2 0.5000 0.5000 0.0000  8 Ca 3.31-3.62, 2 P 3.32
P1 0.0000 0.0000 0.0000  4 Ca 2.76
P2 0.7500 0.2500 0.5000  4 Ca 2.76



## 2
Ca2SnP: relaxed, PBE-GGA.

- symmetry = R-3m
- ρ (Mg/m³) = 2.77
- M_tot (μB per atom) = 0.0046

abc: 9.8681 9.8681 9.8681
angles: 23.84 23.84 23.84
Last column: nearest neighbours and their distance in Å.
Atoms (fractional coordinates):
Ca1 0.1151 0.1151 0.1151  3 P 2.78
Ca2 0.8849 0.8849 0.8849  3 P 2.78
Sn1 0.0000 0.0000 0.0000  2 Ca 3.31
P1 0.5000 0.5000 0.5000  6 Ca 2.78



## 3
Ca2SnP: relaxed, PBE-GGA.

- symmetry = P4/mmm
- ρ (Mg/m³) = 3.80
- M_tot (μB per atom) = 0.0000

abc: 3.4677 3.4677 8.3589
angles: 90.00 90.00 90.00
Last column: nearest neighbours and their distance in Å.
Atoms (fractional coordinates):
Ca1 0.0000 0.0000 0.2045  4 P 2.99
Ca2 0.0000 0.0000 0.7955  4 P 2.99
Sn1 0.5000 0.5000 0.5000  4 Sn 3.47, 8 Ca 3.48
P1 0.5000 0.5000 0.0000  8 Ca 2.99



From most stable to least stable, the computed energies give 3, 2, 1.



## 1
CaSn3P: relaxed, PBE-GGA.

- symmetry = Pm-3m
- ρ (Mg/m³) = 4.73
- M_tot (μB per atom) = 0.0000

abc: 5.3147 5.3147 5.3147
angles: 90.00 90.00 90.00
Last column: nearest neighbours and their distance in Å.
Atoms (fractional coordinates):
Ca1 0.0000 0.0000 0.0000  12 Sn 3.76
Sn1 0.0000 0.5000 0.5000  2 P 2.66
Sn2 0.5000 0.0000 0.5000  2 P 2.66
Sn3 0.5000 0.5000 0.0000  2 P 2.66
P1 0.5000 0.5000 0.5000  6 Sn 2.66



## 2
CaSn3P: relaxed, PBE-GGA.

- symmetry = Pm-3m
- ρ (Mg/m³) = 3.80
- M_tot (μB per atom) = 0.2370

abc: 5.7129 5.7129 5.7129
angles: 90.00 90.00 90.00
Last column: nearest neighbours and their distance in Å.
Atoms (fractional coordinates):
Ca1 0.0000 0.0000 0.0000  6 Sn 2.86
Sn1 0.0000 0.0000 0.5000  2 Ca 2.86
Sn2 0.0000 0.5000 0.0000  2 Ca 2.86
Sn3 0.5000 0.0000 0.0000  2 Ca 2.86
P1 0.5000 0.5000 0.5000  12 Sn 4.04



From most stable to least stable, the computed energies give 1, 2.